This record from OQMD via LeMat-Bulk describes a geometry-optimized MgPd2Au5 structure. The functional is PBE.

E = -3.84 eV per atom

a = 5.798 Å, b = 11.585 Å, c = 4.088 Å
α = 90.00°, β = 90.00°, γ = 90.00°
Sites, in units of the cell vectors:
Mg (0.000, 0.000, 0.000)
Mg (0.500, 0.500, 0.000)
Pd (0.250, 0.123, 0.500)
Pd (0.250, 0.623, 0.500)
Pd (0.750, 0.377, 0.500)
Pd (0.750, 0.877, 0.500)
Au (0.000, 0.500, 0.000)
Au (0.002, 0.245, 0.000)
Au (0.247, 0.877, 0.500)
Au (0.253, 0.377, 0.500)
Au (0.498, 0.745, 0.000)
Au (0.500, 0.000, 0.000)
Au (0.502, 0.255, 0.000)
Au (0.747, 0.623, 0.500)
Au (0.753, 0.123, 0.500)
Au (0.998, 0.755, 0.000)



This record from OQMD via LeMat-Bulk describes a geometry-optimized Er2TmMg3Pt2Au structure. The functional is PBE.

Magnetization = 0.01 μB/f.u.
E = -4.61 eV per atom

a = 4.034 Å, b = 7.399 Å, c = 7.399 Å
α = 119.99°, β = 90.00°, γ = 90.00°
Sites, in units of the cell vectors:
Er (0.000, 0.208, 0.792)
Er (0.000, 0.792, 0.208)
Tm (0.000, 0.625, 0.625)
Mg (0.500, 0.208, 0.459)
Mg (0.500, 0.459, 0.208)
Mg (0.500, 0.957, 0.957)
Pt (0.500, 0.542, 0.875)
Pt (0.500, 0.875, 0.542)
Au (0.000, 0.208, 0.208)